[1]
Computed, not measured: Ba2AsPb2 after structural relaxation at the GGA-PBE level of DFT.

Density of states at the Fermi level   0.816 states/eV per atom
ΔH_f (0 K)   -44.64 kJ per mole of atoms
Magnetization   0.0 μB per cell

abc: 8.2992 8.2992 5.3138
angles: 90.00 90.00 90.00
Last column: nearest neighbours and their distance in Å.
Element x y z (fractional)
Pb1 0.3660 0.8660 0.0000  1 Pb 3.15, 2 As 3.23, 2 Ba 3.48
Pb2 0.8660 0.6340 0.0000  1 Pb 3.15, 2 As 3.23, 2 Ba 3.48
Pb3 0.6340 0.1340 0.0000  1 Pb 3.15, 2 As 3.23, 2 Ba 3.48
Pb4 0.1340 0.3660 0.0000  1 Pb 3.15, 2 As 3.23, 2 Ba 3.48
As1 0.0000 0.0000 0.0000  4 Pb 3.23
As2 0.5000 0.5000 0.0000  4 Pb 3.23
Ba1 0.1739 0.6739 0.5000  6 Pb 3.48-3.70
Ba2 0.6739 0.8261 0.5000  6 Pb 3.48-3.70
Ba3 0.8261 0.3261 0.5000  6 Pb 3.48-3.70
Ba4 0.3261 0.1739 0.5000  6 Pb 3.48-3.70

***

[2]
Computed, not measured: BaAs2Pb2 after structural relaxation at the GGA-PBE level of DFT.

Density of states at the Fermi level   0.678 states/eV per atom
ΔH_f (0 K)   -33.32 kJ per mole of atoms
Magnetization   0.0 μB per cell

abc: 5.5654 5.5654 6.5517
angles: 64.87 64.87 90.00
Last column: nearest neighbours and their distance in Å.
Element x y z (fractional)
Pb1 0.3456 0.3456 0.3089  4 As 2.96, 1 Pb 3.24
Pb2 0.6544 0.6544 0.6911  4 As 2.96, 1 Pb 3.24
As1 0.7500 0.2500 0.5000  4 Pb 2.96
As2 0.2500 0.7500 0.5000  4 Pb 2.96
Ba1 0.0000 0.0000 0.0000  2 Pb 3.62, 8 As 3.82

***

[3]
Computed, not measured: BaAsPb2 after structural relaxation at the GGA-PBE level of DFT.

Density of states at the Fermi level   0.762 states/eV per atom
ΔH_f (0 K)   -26.65 kJ per mole of atoms
Magnetization   0.0 μB per cell

abc: 4.6934 6.9808 4.6990
angles: 70.54 89.41 109.43
Last column: nearest neighbours and their distance in Å.
Element x y z (fractional)
Pb1 0.0000 0.0000 0.0000  4 Pb 3.30-3.34, 2 Ba 3.50, 2 As 3.50
Pb2 0.5000 0.0000 0.5000  4 Pb 3.30-3.34, 2 As 3.50, 2 Ba 3.50
As1 0.0000 0.5000 0.5000  4 Ba 3.30-3.34, 4 Pb 3.50
Ba1 0.5000 0.5000 0.0000  4 As 3.30-3.34, 4 Pb 3.50

***

[4]
Computed, not measured: Ba2AsPb after structural relaxation at the GGA-PBE level of DFT.

Density of states at the Fermi level   1.104 states/eV per atom
ΔE to the lowest computed polymorph   1.53 eV/f.u.
ΔH_f (0 K)   -30.43 kJ per mole of atoms
Magnetization   0.0 μB per cell

abc: 4.1222 4.1222 9.6344
angles: 90.00 90.00 94.19
Last column: nearest neighbours and their distance in Å.
Element x y z (fractional)
Pb1 0.0000 0.0000 0.5689  4 As 3.04-3.24, 1 Ba 3.36
As1 0.5000 0.5000 0.6908  4 Pb 3.04-3.24
Ba1 0.0000 0.0000 0.9174  1 Pb 3.36, 4 As 3.56-3.73
Ba2 0.5000 0.5000 0.3228  1 As 3.55, 4 Pb 3.67-3.84

***

[5]
Computed, not measured: Ba2AsPb after structural relaxation at the GGA-PBE level of DFT.

Density of states at the Fermi level   0.625 states/eV per atom
ΔE to the lowest computed polymorph   0.84 eV/f.u.
ΔH_f (0 K)   -47.20 kJ per mole of atoms
Magnetization   0.0 μB per cell

abc: 9.3020 9.3020 7.5241
angles: 51.82 51.82 90.00
Last column: nearest neighbours and their distance in Å.
Element x y z (fractional)
Pb1 0.0000 0.0000 0.0000  2 As 3.65, 8 Ba 3.69-4.09
Pb2 0.7500 0.2500 0.5000  2 As 3.65, 8 Ba 3.69-4.09
As1 0.5000 0.5000 0.0000  4 Ba 3.16
As2 0.2500 0.7500 0.5000  4 Ba 3.16
Ba1 0.5838 0.1250 0.2500  2 As 3.16
Ba2 0.1662 0.6250 0.2500  2 As 3.16
Ba3 0.3750 0.4162 0.7500  2 As 3.16
Ba4 0.8750 0.8338 0.7500  2 As 3.16

***

[6]
Computed, not measured: BaAsPb2 after structural relaxation at the GGA-PBE level of DFT.

Density of states at the Fermi level   0.565 states/eV per atom
ΔH_f (0 K)   -38.16 kJ per mole of atoms
Magnetization   0.0 μB per cell

abc: 5.4781 5.0801 5.0774
angles: 80.13 90.00 90.00
Last column: nearest neighbours and their distance in Å.
Element x y z (fractional)
Pb1 0.0000 0.0587 0.0587  1 Pb 2.97, 2 As 3.12
Pb2 0.0000 0.4413 0.4413  1 Pb 2.97, 2 As 3.12
As1 0.5000 0.2500 0.2500  4 Pb 3.12, 2 Ba 3.27
Ba1 0.5000 0.7500 0.7500  2 As 3.27, 4 Pb 3.64

***

[7]
Computed, not measured: Ba3As3Pb after structural relaxation at the GGA-PBE level of DFT.

Density of states at the Fermi level   0.562 states/eV per atom
ΔH_f (0 K)   -79.11 kJ per mole of atoms
Magnetization   0.0 μB per cell

abc: 7.3974 10.9460 13.6134
angles: 90.00 90.00 109.75
Last column: nearest neighbours and their distance in Å.
Element x y z (fractional)
Ba1 0.6670 0.0000 0.8531  5 As 3.26-3.58
Ba2 0.8330 0.0000 0.3531  5 As 3.26-3.58
Ba3 0.1670 0.0000 0.6469  5 As 3.26-3.58
Ba4 0.3330 0.0000 0.1469  5 As 3.26-3.58
Ba5 0.9971 0.6470 0.3687  5 As 3.32-3.72, 1 Pb 3.51
Ba6 0.5029 0.3530 0.8687  5 As 3.32-3.72, 1 Pb 3.51
Ba7 0.8501 0.3530 0.1313  5 As 3.32-3.72, 1 Pb 3.51
Ba8 0.6499 0.6470 0.6313  5 As 3.32-3.72, 1 Pb 3.51
Ba9 0.0029 0.3530 0.6313  5 As 3.32-3.72, 1 Pb 3.51
Ba10 0.4971 0.6470 0.1313  5 As 3.32-3.72, 1 Pb 3.51
Ba11 0.1499 0.6470 0.8687  5 As 3.32-3.72, 1 Pb 3.51
Ba12 0.3501 0.3530 0.3687  5 As 3.32-3.72, 1 Pb 3.51
As1 0.2309 0.0000 0.8900  2 Pb 2.91
As2 0.2691 0.0000 0.3900  2 Pb 2.91
As3 0.7309 0.0000 0.6100  2 Pb 2.91
As4 0.7691 0.0000 0.1100  2 Pb 2.91
As5 0.5607 0.6735 0.3744  1 Pb 2.83
As6 0.9393 0.3265 0.8744  1 Pb 2.83
As7 0.3872 0.3265 0.1256  1 Pb 2.83
As8 0.1128 0.6735 0.6256  1 Pb 2.83
As9 0.4393 0.3265 0.6256  1 Pb 2.83
As10 0.0607 0.6735 0.1256  1 Pb 2.83
As11 0.6128 0.6735 0.8744  1 Pb 2.83
As12 0.8872 0.3265 0.3744  1 Pb 2.83
Pb1 0.4114 0.8228 0.5000  4 As 2.83-2.91
Pb2 0.0886 0.1772 0.0000  4 As 2.83-2.91
Pb3 0.5886 0.1772 0.5000  4 As 2.83-2.91
Pb4 0.9114 0.8228 0.0000  4 As 2.83-2.91

***

[8]
Computed, not measured: Ba2AsPd6Pb after structural relaxation at the GGA-PBE level of DFT.

Density of states at the Fermi level   0.377 states/eV per atom
ΔH_f (0 K)   -51.90 kJ per mole of atoms
Magnetization   0.0 μB per cell

abc: 6.7836 7.2360 6.7758
angles: 62.26 59.94 90.03
Last column: nearest neighbours and their distance in Å.
Element x y z (fractional)
Ba1 0.7209 0.1626 0.5581  9 Pd 3.36-3.61
Ba2 0.2791 0.8374 0.4419  9 Pd 3.36-3.61
As1 0.5000 0.5000 0.0000  6 Pd 2.45
Pd1 0.2573 0.3550 0.4851  1 As 2.45, 1 Pb 2.71
Pd2 0.7423 0.6437 0.0990  1 As 2.45, 1 Pb 2.71
Pd3 0.1592 0.6443 0.0989  1 As 2.45, 1 Pb 2.71
Pd4 0.8408 0.3557 0.9011  1 As 2.45, 1 Pb 2.71
Pd5 0.2577 0.3563 0.9010  1 As 2.45, 1 Pb 2.71
Pd6 0.7427 0.6450 0.5149  1 As 2.45, 1 Pb 2.71
Pb1 0.0000 0.0000 0.0000  6 Pd 2.71

***

[9]
Computed, not measured: BaAs2Pd4Pb after structural relaxation at the GGA-PBE level of DFT.

Density of states at the Fermi level   0.558 states/eV per atom
ΔH_f (0 K)   -49.71 kJ per mole of atoms
Magnetization   0.0 μB per cell

abc: 4.1945 4.1945 10.2624
angles: 90.00 90.00 90.00
Last column: nearest neighbours and their distance in Å.
Element x y z (fractional)
Ba1 0.0000 0.0000 0.5000  8 As 3.49, 8 Pd 3.81
As1 0.5000 0.5000 0.3199  4 Pd 2.48
As2 0.5000 0.5000 0.6801  4 Pd 2.48
Pd1 0.0000 0.5000 0.1905  2 As 2.48
Pd2 0.5000 0.0000 0.8095  2 As 2.48
Pd3 0.5000 0.0000 0.1905  2 As 2.48
Pd4 0.0000 0.5000 0.8095  2 As 2.48
Pb1 0.0000 0.0000 0.0000  8 Pd 2.87

***

[10]
Computed, not measured: BaAs2Pd5Pb after structural relaxation at the GGA-PBE level of DFT.

Density of states at the Fermi level   0.533 states/eV per atom
ΔH_f (0 K)   -41.54 kJ per mole of atoms
Magnetization   0.0 μB per cell

abc: 4.3883 4.3883 10.7189
angles: 90.00 90.00 90.00
Last column: nearest neighbours and their distance in Å.
Element x y z (fractional)
Ba1 0.0000 0.0000 0.5000  4 Pd 3.10
As1 0.5000 0.5000 0.2760  5 Pd 2.40-2.48
As2 0.5000 0.5000 0.7240  5 Pd 2.40-2.48
Pd1 0.0000 0.5000 0.1690  2 As 2.48
Pd2 0.5000 0.0000 0.1690  2 As 2.48
Pd3 0.0000 0.5000 0.8310  2 As 2.48
Pd4 0.5000 0.0000 0.8310  2 As 2.48
Pd5 0.5000 0.5000 0.5000  2 As 2.40
Pb1 0.0000 0.0000 0.0000  8 Pd 2.85

***

[11]
Computed, not measured: BaAsPd2Pb2 after structural relaxation at the GGA-PBE level of DFT.

Density of states at the Fermi level   0.611 states/eV per atom
ΔH_f (0 K)   -41.00 kJ per mole of atoms
Magnetization   0.0 μB per cell

abc: 4.9423 4.9423 6.5857
angles: 90.00 90.00 90.00
Last column: nearest neighbours and their distance in Å.
Element x y z (fractional)
Ba1 0.0000 0.0000 0.5000  2 As 3.29
As1 0.0000 0.0000 0.0000  4 Pd 2.47
Pd1 0.5000 0.0000 0.0000  2 As 2.47
Pd2 0.0000 0.5000 0.0000  2 As 2.47
Pb1 0.5000 0.5000 0.7449  4 Pd 2.99, 1 Pb 3.23
Pb2 0.5000 0.5000 0.2551  4 Pd 2.99, 1 Pb 3.23

***

[12]
Computed, not measured: Ba3As2Pd9Pb after structural relaxation at the GGA-PBE level of DFT.

Density of states at the Fermi level   0.352 states/eV per atom
ΔH_f (0 K)   -46.61 kJ per mole of atoms
Magnetization   0.0 μB per cell

abc: 6.6595 6.6595 9.5534
angles: 90.00 90.00 120.00
Last column: nearest neighbours and their distance in Å.
Element x y z (fractional)
Ba1 0.3333 0.6667 0.6714  9 Pd 3.38-3.68
Ba2 0.0000 0.0000 0.0000  12 Pd 3.11-3.33
Ba3 0.6667 0.3333 0.3286  9 Pd 3.38-3.68
As1 0.3333 0.6667 0.1696  6 Pd 2.41-2.51
As2 0.6667 0.3333 0.8304  6 Pd 2.41-2.51
Pd1 0.8562 0.1438 0.7241  1 As 2.41
Pd2 0.8562 0.7124 0.7241  1 As 2.41
Pd3 0.2876 0.1438 0.7241  1 As 2.41
Pd4 0.7124 0.8562 0.2759  1 As 2.41
Pd5 0.1438 0.2876 0.2759  1 As 2.41
Pd6 0.1438 0.8562 0.2759  1 As 2.41
Pd7 0.5000 0.0000 0.0000  2 As 2.51
Pd8 0.0000 0.5000 0.0000  2 As 2.51
Pd9 0.5000 0.5000 0.0000  2 As 2.51
Pb1 0.0000 0.0000 0.5000  6 Pd 2.71

***

[13]
Computed, not measured: Ba2As3Pd4Pb after structural relaxation at the GGA-PBE level of DFT.

Density of states at the Fermi level   0.618 states/eV per atom
ΔH_f (0 K)   -65.85 kJ per mole of atoms
Magnetization   0.0 μB per cell

abc: 4.6113 4.6113 10.7061
angles: 90.00 90.00 90.00
Last column: nearest neighbours and their distance in Å.
Element x y z (fractional)
Ba1 0.5000 0.0000 0.2385  8 Pd 3.44-3.49, 7 As 3.51-3.81, 2 Pb 3.63
Ba2 0.0000 0.5000 0.7615  8 Pd 3.44-3.49, 7 As 3.51-3.81, 2 Pb 3.63
As1 0.0000 0.0000 0.5000  4 Pd 2.78
As2 0.5000 0.0000 0.8829  5 Pd 2.55-2.62
As3 0.0000 0.5000 0.1171  5 Pd 2.55-2.62
Pd1 0.5000 0.5000 0.0000  4 As 2.62
Pd2 0.0000 0.0000 0.0000  4 As 2.62
Pd3 0.5000 0.0000 0.6443  3 As 2.55-2.78, 2 Pb 2.78
Pd4 0.0000 0.5000 0.3557  3 As 2.55-2.78, 2 Pb 2.78
Pb1 0.5000 0.5000 0.5000  4 Pd 2.78

***

[14]
Computed, not measured: Ba2AsPd4Pb3 after structural relaxation at the GGA-PBE level of DFT.

Density of states at the Fermi level   0.496 states/eV per atom
ΔH_f (0 K)   -51.95 kJ per mole of atoms
Magnetization   0.0 μB per cell

abc: 4.8930 4.8930 10.7716
angles: 90.00 90.00 90.00
Last column: nearest neighbours and their distance in Å.
Element x y z (fractional)
Ba1 0.5000 0.0000 0.2547  2 As 3.60, 6 Pb 3.60-3.75, 9 Pd 3.68-3.91
Ba2 0.0000 0.5000 0.7453  2 As 3.60, 6 Pb 3.60-3.75, 9 Pd 3.68-3.91
As1 0.5000 0.5000 0.5000  4 Pd 2.76
Pd1 0.5000 0.5000 0.0000  4 Pb 2.77
Pd2 0.0000 0.0000 0.0000  4 Pb 2.77
Pd3 0.5000 0.0000 0.6176  2 As 2.76, 3 Pb 2.76-2.82
Pd4 0.0000 0.5000 0.3824  3 Pb 2.76-2.82, 2 As 2.76
Pb1 0.0000 0.0000 0.5000  4 Pd 2.76
Pb2 0.5000 0.0000 0.8794  5 Pd 2.77-2.82
Pb3 0.0000 0.5000 0.1206  5 Pd 2.77-2.82

***

[15]
Computed, not measured: Ba2SbAs2Pb2 after structural relaxation at the GGA-PBE level of DFT.

Density of states at the Fermi level   0.632 states/eV per atom
E   -4.08 eV/atom
Magnetization   0.0 μB per cell

abc: 4.1936 6.9618 9.7581
angles: 65.23 89.97 72.35
Last column: nearest neighbours and their distance in Å.
Element x y z (fractional)
Ba1 0.4285 0.1443 0.6607  3 As 3.33-3.40, 2 Sb 3.67
Ba2 0.5715 0.8557 0.3393  3 As 3.33-3.40, 2 Sb 3.67
Sb1 0.0000 0.0000 0.0000  2 Pb 3.08
As1 0.8364 0.3280 0.3653  2 Pb 2.83
As2 0.1636 0.6720 0.6347  2 Pb 2.83
Pb1 0.7411 0.5173 0.8516  2 As 2.83, 1 Sb 3.08
Pb2 0.2589 0.4827 0.1484  2 As 2.83, 1 Sb 3.08

***

[16]
Computed, not measured: BaAs2PbSe after structural relaxation at the GGA-PBE level of DFT.

Density of states at the Fermi level   0.921 states/eV per atom
ΔE to the lowest computed polymorph   3.63 eV/f.u.
Magnetization   0.0 μB per cell

abc: 5.7150 5.7150 5.9169
angles: 90.00 90.00 90.00
Last column: nearest neighbours and their distance in Å.
Element x y z (fractional)
Pb1 0.5000 0.5000 0.5000  4 Se 4.04, 8 As 4.11
As1 0.0000 0.5000 0.0000  2 Ba 2.86
As2 0.5000 0.0000 0.0000  2 Ba 2.86
Ba1 0.0000 0.0000 0.0000  4 As 2.86, 2 Se 2.96
Se1 0.0000 0.0000 0.5000  2 Ba 2.96

***

[17]
Computed, not measured: BaAsPb2Se after structural relaxation at the GGA-PBE level of DFT.

Density of states at the Fermi level   1.072 states/eV per atom
E   -3.63 eV/atom
Magnetization   0.0 μB per cell

abc: 5.6489 5.4385 5.6489
angles: 90.00 90.00 90.00
Last column: nearest neighbours and their distance in Å.
Element x y z (fractional)
Pb1 0.0000 0.0000 0.5000  2 As 2.82
Pb2 0.5000 0.0000 0.0000  2 As 2.82
As1 0.0000 0.0000 0.0000  2 Se 2.72, 4 Pb 2.82
Ba1 0.5000 0.5000 0.5000  8 Pb 3.92, 4 Se 3.99
Se1 0.0000 0.5000 0.0000  2 As 2.72

***

[18]
Computed, not measured: BaAs2PbSe after structural relaxation at the GGA-PBE level of DFT.

Density of states at the Fermi level   1.431 states/eV per atom
ΔE to the lowest computed polymorph   0.00 eV/f.u.
Magnetization   0.0 μB per cell

abc: 5.4324 5.4324 5.6511
angles: 90.00 90.00 90.00
Last column: nearest neighbours and their distance in Å.
Element x y z (fractional)
Pb1 0.0000 0.0000 0.0000  4 As 2.72, 2 Se 2.83
As1 0.0000 0.5000 0.0000  2 Pb 2.72
As2 0.5000 0.0000 0.0000  2 Pb 2.72
Ba1 0.5000 0.5000 0.5000  4 Se 3.84, 8 As 3.92
Se1 0.0000 0.0000 0.5000  2 Pb 2.83

***

[19]
Computed, not measured: BaSr2AsPb after structural relaxation at the GGA-PBE level of DFT.

Density of states at the Fermi level   1.348 states/eV per atom
ΔH_f (0 K)   -61.63 kJ per mole of atoms
Magnetization   0.2 μB per cell

abc: 5.9188 5.9188 6.3246
angles: 90.00 90.00 90.00
Last column: nearest neighbours and their distance in Å.
Element x y z (fractional)
Ba1 0.0000 0.0000 0.5000  2 As 3.16
Sr1 0.0000 0.5000 0.9996  2 As 2.96
Sr2 0.5000 0.0000 0.9997  2 As 2.96
As1 0.0000 0.0000 0.0000  4 Sr 2.96, 2 Ba 3.16
Pb1 0.5000 0.5000 0.5007  4 Ba 4.19, 8 Sr 4.33-4.34

***

[20]
Computed, not measured: BaTcAs2Pb after structural relaxation at the GGA-PBE level of DFT.

Density of states at the Fermi level   1.033 states/eV per atom
ΔH_f (0 K)   152.94 kJ per mole of atoms
Magnetization   3.6 μB per cell

abc: 5.7817 5.4695 5.7817
angles: 90.00 90.00 90.00
Last column: nearest neighbours and their distance in Å.
Element x y z (fractional)
Pb1 0.5000 0.5000 0.5000  8 As 3.98, 4 Tc 4.09
As1 0.0000 0.0000 0.5000  2 Ba 2.89
As2 0.5000 0.0000 0.0000  2 Ba 2.89
Ba1 0.0000 0.0000 0.0000  2 Tc 2.73, 4 As 2.89
Tc1 0.0000 0.5000 0.0000  2 Ba 2.73